VASP calculation (SCAN) on a crystal of KLiIr relaxed with PBEsol.

Properties
- Calculated formation energy: 0.477 eV per atom
- Relative energy among the computed polymorphs: 18 kJ/mol of formula units

a = 2.8442 Å, b = 2.8442 Å, c = 8.1290 Å
α = 90.00°, β = 90.00°, γ = 120.00°
Space group P3m1 (No. 156)
Unique sites:
K (0.0000, 0.0000, 0.0000) (multiplicity 1)
Li (0.3333, 0.6667, 0.5668) (multiplicity 1)
Ir (0.6667, 0.3333, 0.3213) (multiplicity 1)

VASP calculation (SCAN) on a crystal of ZrSbI2N relaxed with PBEsol.

Properties
- E_form (uncorrected): 821 meV/atom
- Relative energy among the computed polymorphs: 57 kJ/mol of formula units

a = 6.001 Å, b = 6.001 Å, c = 3.896 Å
α = 90.00°, β = 90.00°, γ = 90.00°
Space group P4/mmm (No. 123)
Unique sites:
Zr (0.000, 0.000, 0.000) (multiplicity 1)
Sb (0.500, 0.500, 0.500) (multiplicity 1)
I (0.000, 0.500, 0.500) (multiplicity 2)
N (0.500, 0.500, 0.000) (multiplicity 1)

VASP calculation (SCAN) on a crystal of OsPbSN2 relaxed with PBEsol.

Properties
- E_form (uncorrected): 513 meV/atom

a = 3.882 Å, b = 3.882 Å, c = 5.064 Å
α = 90.00°, β = 90.00°, γ = 90.00°
Space group P4/mmm (No. 123)
Unique sites:
Os (0.000, 0.000, 0.000) (multiplicity 1)
Pb (0.500, 0.500, 0.500) (multiplicity 1)
S (0.000, 0.000, 0.500) (multiplicity 1)
N (0.000, 0.500, 0.000) (multiplicity 2)

VASP calculation (SCAN) on a crystal of SiPPdAu2 relaxed with PBEsol.

Properties
- E_form (uncorrected): 632 meV/atom

a = 4.563 Å, b = 4.563 Å, c = 4.563 Å
α = 90.00°, β = 90.00°, γ = 90.00°
Space group P4/mmm (No. 123)
Unique sites:
Si (0.000, 0.000, 0.000) (multiplicity 1)
P (0.000, 0.000, 0.500) (multiplicity 1)
Pd (0.500, 0.500, 0.000) (multiplicity 1)
Au (0.000, 0.500, 0.500) (multiplicity 2)

VASP calculation (SCAN) on a crystal of CdAs2P relaxed with PBEsol.

Properties
- Calculated formation energy: 0.150 eV per atom
- Relative energy among the computed polymorphs: 0 kJ/mol of formula units

a = 3.7048 Å, b = 3.7048 Å, c = 19.5101 Å
α = 90.00°, β = 90.00°, γ = 120.00°
Space group R3m (No. 160, hexagonal axes)
Unique sites:
Cd (0.0000, 0.0000, 0.0000) (multiplicity 3)
As (0.0000, 0.0000, 0.5077) (multiplicity 3)
As (0.0000, 0.0000, 0.7616) (multiplicity 3)
P (0.0000, 0.0000, 0.2478) (multiplicity 3)

VASP calculation (SCAN) on a crystal of LiMn2Cu relaxed with PBEsol.

Properties
- Calculated formation energy: -0.008 eV per atom

a = 4.051 Å, b = 4.051 Å, c = 5.638 Å
α = 90.00°, β = 90.00°, γ = 90.00°
Space group I-4m2 (No. 119)
Unique sites:
Li (0.000, 0.000, 0.000) (multiplicity 2)
Mn (0.000, 0.000, 0.500) (multiplicity 2)
Mn (0.000, 0.500, 0.250) (multiplicity 2)
Cu (0.000, 0.500, 0.750) (multiplicity 2)

VASP calculation (SCAN) on a crystal of HgAsN2F relaxed with PBEsol.

Properties
- E_form (uncorrected): 1579 meV/atom

a = 4.162 Å, b = 4.162 Å, c = 4.215 Å
α = 90.00°, β = 90.00°, γ = 90.00°
Space group P4/mmm (No. 123)
Unique sites:
Hg (0.000, 0.000, 0.000) (multiplicity 1)
As (0.500, 0.500, 0.500) (multiplicity 1)
N (0.000, 0.500, 0.000) (multiplicity 2)
F (0.000, 0.000, 0.500) (multiplicity 1)

VASP calculation (SCAN) on a crystal of ZrTcW2 relaxed with PBEsol.

Properties
- Calculated formation energy: 0.020 eV per atom
- Relative energy among the computed polymorphs: 15 kJ/mol of formula units

a = 2.811 Å, b = 4.515 Å, c = 5.225 Å
α = 90.00°, β = 101.04°, γ = 90.00°
Space group P2/m (No. 10)
Unique sites:
Zr (0.000, 0.000, 0.000) (multiplicity 1)
Tc (0.500, 0.000, 0.500) (multiplicity 1)
W (0.259, 0.500, 0.745) (multiplicity 2)

VASP calculation (SCAN) on a crystal of K2HgPt relaxed with PBEsol.

Properties
- Calculated formation energy: -0.181 eV per atom

a = 4.307 Å, b = 5.266 Å, c = 9.960 Å
α = 90.00°, β = 90.00°, γ = 90.00°
Space group Imm2 (No. 44)
Unique sites:
K (0.000, 0.000, 0.000) (multiplicity 2)
K (0.000, 0.500, 0.207) (multiplicity 2)
Hg (0.000, 0.000, 0.431) (multiplicity 2)
Pt (0.000, 0.500, 0.765) (multiplicity 2)

VASP calculation (SCAN) on a crystal of FeTeH2 relaxed with PBEsol.

Properties
- Total DFT energy (no corrections): -232.5 eV for the cell shown

a = 5.519 Å, b = 5.519 Å, c = 5.519 Å
α = 90.00°, β = 90.00°, γ = 90.00°
Space group Fm-3m (No. 225)
Unique sites:
Fe (0.000, 0.000, 0.000) (multiplicity 4)
Te (0.000, 0.000, 0.500) (multiplicity 4)
H (0.250, 0.250, 0.250) (multiplicity 8)

VASP calculation (SCAN) on a crystal of AlTlOs4 relaxed with PBEsol.

Properties
- Calculated formation energy: 0.840 eV per atom

a = 7.332 Å, b = 7.332 Å, c = 7.332 Å
α = 90.00°, β = 90.00°, γ = 90.00°
Space group F-43m (No. 216)
Unique sites:
Al (0.000, 0.000, 0.000) (multiplicity 4)
Tl (0.250, 0.250, 0.250) (multiplicity 4)
Os (0.125, 0.125, 0.625) (multiplicity 16)

VASP calculation (SCAN) on a crystal of YSnRuC2 relaxed with PBEsol.

Properties
- Calculated formation energy: 2.525 eV per atom

a = 4.137 Å, b = 4.137 Å, c = 5.838 Å
α = 90.00°, β = 90.00°, γ = 90.00°
Space group P4/mmm (No. 123)
Unique sites:
Y (0.000, 0.000, 0.000) (multiplicity 1)
Sn (0.000, 0.000, 0.500) (multiplicity 1)
Ru (0.500, 0.500, 0.000) (multiplicity 1)
C (0.000, 0.500, 0.500) (multiplicity 2)

VASP calculation (SCAN) on a crystal of Sr4TiP4 relaxed with PBEsol.

Properties
- Calculated formation energy: -1.306 eV per atom

a = 12.486 Å, b = 12.486 Å, c = 12.486 Å
α = 90.00°, β = 90.00°, γ = 90.00°
Space group P-43n (No. 218)
Unique sites:
Sr (0.094, 0.137, 0.648) (multiplicity 24)
Sr (0.148, 0.148, 0.148) (multiplicity 8)
Ti (0.000, 0.000, 0.000) (multiplicity 2)
Ti (0.000, 0.500, 0.250) (multiplicity 6)
P (0.108, 0.385, 0.645) (multiplicity 24)
P (0.109, 0.109, 0.891) (multiplicity 8)

VASP calculation (SCAN) on a crystal of LiCrAsSe2 relaxed with PBEsol.

Properties
- E_form (uncorrected): -142 meV/atom

a = 4.838 Å, b = 4.838 Å, c = 4.596 Å
α = 90.00°, β = 90.00°, γ = 90.00°
Space group P4/mmm (No. 123)
Unique sites:
Li (0.000, 0.000, 0.000) (multiplicity 1)
Cr (0.500, 0.500, 0.500) (multiplicity 1)
As (0.500, 0.500, 0.000) (multiplicity 1)
Se (0.000, 0.500, 0.500) (multiplicity 2)

VASP calculation (SCAN) on a crystal of RbLa3Tl relaxed with PBEsol.

Properties
- Calculated formation energy: 0.886 eV per atom

a = 5.574 Å, b = 5.574 Å, c = 5.574 Å
α = 90.00°, β = 90.00°, γ = 90.00°
Space group Pm-3m (No. 221)
Unique sites:
Rb (0.000, 0.000, 0.000) (multiplicity 1)
La (0.000, 0.000, 0.500) (multiplicity 3)
Tl (0.500, 0.500, 0.500) (multiplicity 1)

VASP calculation (SCAN) on a crystal of AlTl2Zn relaxed with PBEsol.

Properties
- Calculated formation energy: 0.309 eV per atom

a = 4.392 Å, b = 5.005 Å, c = 8.084 Å
α = 90.00°, β = 90.00°, γ = 90.00°
Space group Immm (No. 71)
Unique sites:
Al (0.000, 0.000, 0.000) (multiplicity 2)
Tl (0.000, 0.500, 0.246) (multiplicity 4)
Zn (0.000, 0.000, 0.500) (multiplicity 2)

VASP calculation (SCAN) on a crystal of ScTa2Hg relaxed with PBEsol.

Properties
- Calculated formation energy: 0.010 eV per atom

a = 3.085 Å, b = 3.736 Å, c = 6.582 Å
α = 90.00°, β = 90.00°, γ = 90.00°
Space group Pmm2 (No. 25)
Unique sites:
Sc (0.000, 0.000, 0.000) (multiplicity 1)
Ta (0.000, 0.000, 0.485) (multiplicity 1)
Ta (0.500, 0.500, 0.263) (multiplicity 1)
Hg (0.500, 0.500, 0.747) (multiplicity 1)

VASP calculation (SCAN) on a crystal of ZrTa3 relaxed with PBEsol.

Properties
- Calculated formation energy: 0.121 eV per atom
- Relative energy among the computed polymorphs: 12 kJ/mol of formula units

a = 6.664 Å, b = 6.664 Å, c = 6.664 Å
α = 90.00°, β = 90.00°, γ = 90.00°
Space group Fm-3m (No. 225)
Unique sites:
Zr (0.000, 0.000, 0.000) (multiplicity 4)
Ta (0.000, 0.000, 0.500) (multiplicity 4)
Ta (0.250, 0.250, 0.250) (multiplicity 8)

VASP calculation (SCAN) on a crystal of Y2AlCo3 relaxed with PBEsol.

Properties
- Calculated formation energy: -0.208 eV per atom

a = 5.2492 Å, b = 5.2492 Å, c = 11.5652 Å
α = 90.00°, β = 90.00°, γ = 120.00°
Space group R-3m (No. 166, hexagonal axes)
Unique sites:
Y (0.0000, 0.0000, 0.1277) (multiplicity 6)
Al (0.0000, 0.0000, 0.5000) (multiplicity 3)
Co (0.0000, 0.5000, 0.0000) (multiplicity 9)

VASP calculation (SCAN) on a crystal of Fe3Co5 relaxed with PBEsol.

Properties
- Calculated formation energy: -0.067 eV per atom

a = 2.420 Å, b = 5.968 Å, c = 6.071 Å
α = 82.71°, β = 85.73°, γ = 81.64°
Space group P-1 (No. 2)
Unique sites:
Fe (0.000, 0.000, 0.000) (multiplicity 1)
Fe (0.239, 0.372, 0.874) (multiplicity 2)
Co (0.000, 0.500, 0.500) (multiplicity 1)
Co (0.286, 0.882, 0.374) (multiplicity 2)
Co (0.453, 0.744, 0.752) (multiplicity 2)

VASP calculation (SCAN) on a crystal of Ni4Rh relaxed with PBEsol.

Properties
- Calculated formation energy: -0.001 eV per atom
- Relative energy among the computed polymorphs: 0 kJ/mol of formula units

a = 5.607 Å, b = 5.607 Å, c = 3.535 Å
α = 90.00°, β = 90.00°, γ = 90.00°
Space group I4/m (No. 87)
Unique sites:
Ni (0.099, 0.696, 0.000) (multiplicity 8)
Rh (0.000, 0.000, 0.500) (multiplicity 2)

VASP calculation (SCAN) on a crystal of CdSe3 relaxed with PBEsol.

Properties
- E_form (uncorrected): -97 meV/atom

a = 5.067 Å, b = 5.306 Å, c = 7.696 Å
α = 90.00°, β = 90.00°, γ = 90.00°
Space group Pmmn (No. 59, origin choice 2)
Unique sites:
Cd (0.250, 0.250, 0.123) (multiplicity 2)
Se (0.250, 0.503, 0.467) (multiplicity 4)
Se (0.250, 0.750, 0.988) (multiplicity 2)

VASP calculation (SCAN) on a crystal of MnAl4 relaxed with PBEsol.

Properties
- Calculated formation energy: -0.058 eV per atom
- Relative energy among the computed polymorphs: 58 kJ/mol of formula units

a = 5.568 Å, b = 5.568 Å, c = 5.568 Å
α = 90.00°, β = 90.00°, γ = 90.00°
Space group Im-3m (No. 229)
Unique sites:
Mn (0.000, 0.000, 0.000) (multiplicity 2)
Al (0.250, 0.250, 0.250) (multiplicity 8)

VASP calculation (SCAN) on a crystal of TaHg3Rh relaxed with PBEsol.

Properties
- Calculated formation energy: 1.442 eV per atom

a = 5.178 Å, b = 5.178 Å, c = 5.178 Å
α = 90.00°, β = 90.00°, γ = 90.00°
Space group Pm-3m (No. 221)
Unique sites:
Ta (0.000, 0.000, 0.000) (multiplicity 1)
Hg (0.000, 0.000, 0.500) (multiplicity 3)
Rh (0.500, 0.500, 0.500) (multiplicity 1)

VASP calculation (SCAN) on a crystal of SnPtSCl2 relaxed with PBEsol.

Properties
- E_form (uncorrected): -167 meV/atom

a = 4.732 Å, b = 4.732 Å, c = 4.818 Å
α = 90.00°, β = 90.00°, γ = 90.00°
Space group P4/mmm (No. 123)
Unique sites:
Sn (0.000, 0.000, 0.000) (multiplicity 1)
Pt (0.500, 0.500, 0.500) (multiplicity 1)
S (0.500, 0.500, 0.000) (multiplicity 1)
Cl (0.000, 0.500, 0.500) (multiplicity 2)

It is found that the total moment values, taken in the order of the records, are 0.090 0.507 0.000 0.000 0.000 0.012 0.168 0.000 0.000 0.793 0.001 0.401 0.000 0.416 0.000 0.000 0.000 0.000 0.330 2.170 0.794 0.000 0.155 0.149 0.000 μB per atom.